Arrangement A

This record from Alexandria via LeMat-Bulk describes an optimized crystal structure of MnAlAu6. The functional is GGA-PBE.

Output
Volume: 307.2 Å³ per cell

abc: 7.6623 5.4525 7.6945
angles: 90.00 107.12 90.00
Closest atoms and distances in Å follow each position.
Space group C2/m (No. 12)
One atom of each set of equivalent atoms:
Mn: 0.0000 0.0000 0.0000 [2 per cell]  6 Au 2.64-2.76
Al: 0.0000 0.5000 0.5000 [2 per cell]  8 Au 2.71-2.77
Au: 0.1417 0.5000 0.9277 [4 per cell]  1 Mn 2.64, 3 Au 2.72-2.88
Au: 0.1886 0.2513 0.3092 [8 per cell]  2 Al 2.71-2.77, 5 Au 2.71-2.98, 1 Mn 2.76

=====

Arrangement B

This record from Alexandria via LeMat-Bulk describes an optimized crystal structure of MnAlAu6. The functional is GGA-PBE.

Output
Volume: 551.0 Å³ per cell

abc: 6.3238 6.8299 12.7562
angles: 90.00 90.00 90.00
Closest atoms and distances in Å follow each position.
Space group Fmmm (No. 69)
One atom of each set of equivalent atoms:
Mn: 0.0000 0.0000 0.0000 [4 per cell]  8 Au 2.75
Al: 0.0000 0.0000 0.5000 [4 per cell]  8 Au 2.75
Au: 0.0000 0.0000 0.2491 [8 per cell]  10 Au 2.89-3.16, 1 Mn 3.18, 1 Al 3.20
Au: 0.2500 0.2500 0.1144 [16 per cell]  2 Mn 2.75, 2 Al 2.75, 5 Au 2.89-2.92

=====

Most stable: arrangement B. Least stable: arrangement A.

=====

Arrangement A

This record from Alexandria via LeMat-Bulk describes an optimized crystal structure of MnAl2PAu. The functional is GGA-PBE.

Output
Volume: 89.3 Å³ per cell

abc: 4.6462 4.6462 4.1368
angles: 90.00 90.00 90.00
Closest atoms and distances in Å follow each position.
Space group P4/mmm (No. 123)
One atom of each set of equivalent atoms:
Mn: 0.0000 0.0000 0.0000 [1 per cell]  2 P 2.07
Al: 0.0000 0.5000 0.0000 [2 per cell]  2 Mn 2.32
P: 0.0000 0.0000 0.5000 [1 per cell]  2 Mn 2.07
Au: 0.5000 0.5000 0.5000 [1 per cell]  8 Al 3.11, 4 P 3.29

=====

Arrangement B

This record from Alexandria via LeMat-Bulk describes an optimized crystal structure of MnAl2PAu. The functional is GGA-PBE.

Output
Volume: 103.3 Å³ per cell

abc: 4.6128 4.6128 4.8562
angles: 90.00 90.00 90.00
Closest atoms and distances in Å follow each position.
Space group P4/mmm (No. 123)
One atom of each set of equivalent atoms:
Mn: 0.0000 0.0000 0.0000 [1 per cell]  4 Al 2.31, 2 Au 2.43
Al: 0.0000 0.5000 0.0000 [2 per cell]  2 Mn 2.31
P: 0.5000 0.5000 0.5000 [1 per cell]  4 Au 3.26, 8 Al 3.35
Au: 0.0000 0.0000 0.5000 [1 per cell]  2 Mn 2.43

=====

Most stable: arrangement A. Least stable: arrangement B.

=====

Arrangement A

This record from Alexandria via LeMat-Bulk describes an optimized crystal structure of Al2MoAu2. The functional is GGA-PBE.

Output
Volume: 178.7 Å³ per cell

abc: 3.8939 3.8939 11.7890
angles: 90.00 90.00 90.00
Closest atoms and distances in Å follow each position.
Space group I4/mmm (No. 139)
One atom of each set of equivalent atoms:
Al: 0.0000 0.5000 0.2500 [4 per cell]  4 Au 2.54, 4 Al 2.75
Mo: 0.0000 0.0000 0.0000 [2 per cell]  8 Au 3.05
Au: 0.0000 0.0000 0.3880 [4 per cell]  4 Al 2.54, 1 Au 2.64

=====

Arrangement B

This record from Alexandria via LeMat-Bulk describes an optimized crystal structure of Al2MoAu2. The functional is GGA-PBE.

Output
Volume: 165.1 Å³ per cell

abc: 7.5401 7.5401 2.9044
angles: 90.00 90.00 90.00
Closest atoms and distances in Å follow each position.
Space group P4/mbm (No. 127)
One atom of each set of equivalent atoms:
Al: 0.1710 0.3290 0.0000 [4 per cell]  6 Au 2.56-2.72
Mo: 0.0000 0.0000 0.5000 [2 per cell]  2 Mo 2.90, 4 Au 2.95, 8 Al 3.15
Au: 0.1314 0.6314 0.5000 [4 per cell]  6 Al 2.56-2.72, 1 Au 2.80

=====

Most stable: arrangement B. Least stable: arrangement A.

=====

Arrangement A

This record from Alexandria via LeMat-Bulk describes an optimized crystal structure of AlAuSeN2. The functional is GGA-PBE.

Output
Volume: 119.8 Å³ per cell

abc: 3.8964 3.8964 7.8904
angles: 90.00 90.00 90.00
Closest atoms and distances in Å follow each position.
Space group P4/mmm (No. 123)
One atom of each set of equivalent atoms:
Al: 0.0000 0.0000 0.0000 [1 per cell]  4 Se 2.76
Au: 0.5000 0.5000 0.5000 [1 per cell]  4 N 1.95
Se: 0.5000 0.5000 0.0000 [1 per cell]  4 Al 2.76
N: 0.0000 0.5000 0.5000 [2 per cell]  2 Au 1.95

=====

Arrangement B

This record from Alexandria via LeMat-Bulk describes an optimized crystal structure of AlAuSeN2. The functional is GGA-PBE.

Output
Volume: 81.0 Å³ per cell

abc: 3.7691 3.7691 5.6992
angles: 90.00 90.00 90.00
Closest atoms and distances in Å follow each position.
Space group P4/mmm (No. 123)
One atom of each set of equivalent atoms:
Al: 0.0000 0.0000 0.0000 [1 per cell]  4 N 1.88
Au: 0.5000 0.5000 0.5000 [1 per cell]  4 Se 2.67
Se: 0.0000 0.0000 0.5000 [1 per cell]  4 Au 2.67, 2 Al 2.85
N: 0.0000 0.5000 0.0000 [2 per cell]  2 Al 1.88

=====

Most stable: arrangement B. Least stable: arrangement A.

=====

Arrangement A

This record from Alexandria via LeMat-Bulk describes an optimized crystal structure of NaAl4Au4. The functional is GGA-PBE.

Output
Volume: 345.6 Å³ per cell

abc: 8.9984 8.9984 4.2680
angles: 90.00 90.00 90.00
Closest atoms and distances in Å follow each position.
Space group I4/m (No. 87)
One atom of each set of equivalent atoms:
Na: 0.0000 0.0000 0.0000 [2 per cell]  8 Au 3.12
Al: 0.1079 0.3887 0.0000 [8 per cell]  4 Au 2.60-2.62, 5 Al 2.79-2.91
Au: 0.1220 0.2208 0.5000 [8 per cell]  4 Al 2.60-2.62

=====

Arrangement B

This record from Alexandria via LeMat-Bulk describes an optimized crystal structure of NaAl4Au4. The functional is GGA-PBE.

Output
Volume: 356.7 Å³ per cell

abc: 6.4424 6.4424 8.5934
angles: 90.00 90.00 90.00
Closest atoms and distances in Å follow each position.
Space group P4_2/nmc (No. 137, origin choice 2)
One atom of each set of equivalent atoms:
Na: 0.2500 0.7500 0.2500 [2 per cell]  4 Au 3.16
Al: 0.0119 0.2500 0.1451 [8 per cell]  5 Au 2.59-2.70
Au: 0.0293 0.2500 0.4471 [8 per cell]  5 Al 2.59-2.70, 1 Au 2.84

=====

Most stable: arrangement B. Least stable: arrangement A.

=====

Arrangement A

This record from Alexandria via LeMat-Bulk describes an optimized crystal structure of Na2AlAu2. The functional is GGA-PBE.

Output
Volume: 221.8 Å³ per cell

abc: 6.7726 6.7726 4.8364
angles: 90.00 90.00 90.00
Closest atoms and distances in Å follow each position.
Space group P4/mbm (No. 127)
One atom of each set of equivalent atoms:
Na: 0.1661 0.3339 0.0000 [4 per cell]  6 Au 3.00-3.22, 1 Na 3.18
Al: 0.0000 0.0000 0.5000 [2 per cell]  4 Au 2.59
Au: 0.1481 0.6481 0.5000 [4 per cell]  2 Al 2.59, 1 Au 2.84

=====

Arrangement B

This record from Alexandria via LeMat-Bulk describes an optimized crystal structure of Na2AlAu2. The functional is GGA-PBE.

Output
Volume: 214.1 Å³ per cell

abc: 8.7670 8.7670 2.7860
angles: 90.00 90.00 90.00
Closest atoms and distances in Å follow each position.
Space group P4/mbm (No. 127)
One atom of each set of equivalent atoms:
Na: 0.1270 0.3730 0.0000 [4 per cell]  2 Na 2.79, 6 Au 2.87-2.98
Al: 0.0000 0.0000 0.0000 [2 per cell]  2 Al 2.79
Au: 0.1705 0.6705 0.5000 [4 per cell]  2 Au 2.79, 6 Na 2.87-2.98

=====

Arrangement C

This record from Alexandria via LeMat-Bulk describes an optimized crystal structure of Na2AlAu2. The functional is GGA-PBE.

Output
Volume: 499.8 Å³ per cell

abc: 7.1216 11.8047 5.9452
angles: 90.00 90.00 90.00
Closest atoms and distances in Å follow each position.
Space group Ibam (No. 72)
One atom of each set of equivalent atoms:
Na: 0.1427 0.1366 0.0000 [8 per cell]  5 Au 2.95-3.17
Al: 0.0000 0.5000 0.2500 [4 per cell]  4 Au 2.53
Au: 0.2126 0.3828 0.0000 [8 per cell]  2 Al 2.53

=====

Arrangement D

This record from Alexandria via LeMat-Bulk describes an optimized crystal structure of Na2AlAu2. The functional is GGA-PBE.

Output
Volume: 227.9 Å³ per cell

abc: 4.0613 5.9012 9.5070
angles: 90.00 90.00 90.00
Closest atoms and distances in Å follow each position.
Space group Immm (No. 71)
One atom of each set of equivalent atoms:
Na: 0.0000 0.0000 0.2022 [4 per cell]  6 Au 3.13-3.22, 2 Al 3.48
Al: 0.0000 0.5000 0.0000 [2 per cell]  4 Au 2.55
Au: 0.0000 0.2613 0.5000 [4 per cell]  2 Al 2.55, 1 Au 2.82

=====

Most stable: arrangement D. Least stable: arrangement B.

=====

Arrangement A

This record from Alexandria via LeMat-Bulk describes an optimized crystal structure of Na2Al2Au. The functional is GGA-PBE.

Output
Volume: 216.1 Å³ per cell

abc: 3.7961 3.7961 14.9991
angles: 90.00 90.00 90.00
Closest atoms and distances in Å follow each position.
Space group I4/mmm (No. 139)
One atom of each set of equivalent atoms:
Na: 0.0000 0.5000 0.2500 [4 per cell]  4 Na 2.68
Al: 0.0000 0.0000 0.0846 [4 per cell]  1 Al 2.54
Au: 0.0000 0.0000 0.5000 [2 per cell]  8 Al 2.97

=====

Arrangement B

This record from Alexandria via LeMat-Bulk describes an optimized crystal structure of Na2Al2Au. The functional is GGA-PBE.

Output
Volume: 231.1 Å³ per cell

abc: 6.6522 6.6522 5.2231
angles: 90.00 90.00 90.00
Closest atoms and distances in Å follow each position.
Space group P4/mbm (No. 127)
One atom of each set of equivalent atoms:
Na: 0.1760 0.3240 0.0000 [4 per cell]  6 Al 3.14-3.36, 5 Na 3.31-3.47
Al: 0.1395 0.6395 0.5000 [4 per cell]  2 Au 2.57, 1 Al 2.62
Au: 0.0000 0.0000 0.5000 [2 per cell]  4 Al 2.57

=====

Most stable: arrangement B. Least stable: arrangement A.

=====

Arrangement A

This record from Alexandria via LeMat-Bulk describes an optimized crystal structure of NaAlAu3. The functional is GGA-PBE.

Output
Volume: 210.2 Å³ per cell

abc: 5.2036 6.8156 6.8182
angles: 60.53 87.37 87.23
Closest atoms and distances in Å follow each position.
Space group P1 (No. 1)
One atom of each set of equivalent atoms:
Na: 0.0000 0.0000 0.0000 [1 per cell]  9 Au 3.08-3.45, 1 Al 3.25, 1 Na 3.38
Na: 0.0066 0.7136 0.7124 [1 per cell]  9 Au 3.08-3.44, 1 Al 3.25, 1 Na 3.38
Al: 0.3175 0.4666 0.4648 [1 per cell]  7 Au 2.47-2.73
Al: 0.6893 0.2474 0.2473 [1 per cell]  7 Au 2.47-2.73
Au: 0.1642 0.2492 0.2456 [1 per cell]  3 Al 2.47-2.73
Au: 0.5025 0.6603 0.0521 [1 per cell]  2 Al 2.61, 1 Au 2.70
Au: 0.5033 0.3559 0.8563 [1 per cell]  2 Al 2.61, 2 Au 2.91
Au: 0.5032 0.8572 0.3552 [1 per cell]  2 Al 2.61, 2 Au 2.92
Au: 0.5038 0.0533 0.6594 [1 per cell]  2 Al 2.61, 1 Au 2.70
Au: 0.8424 0.4649 0.4662 [1 per cell]  3 Al 2.47-2.73

=====

Arrangement B

This record from Alexandria via LeMat-Bulk describes an optimized crystal structure of NaAlAu3. The functional is GGA-PBE.

Output
Volume: 211.1 Å³ per cell

abc: 5.8680 6.6934 6.9326
angles: 116.93 90.54 115.85
Closest atoms and distances in Å follow each position.
Space group P1 (No. 1)
One atom of each set of equivalent atoms:
Na: 0.0000 0.0000 0.0000 [1 per cell]  6 Au 3.02-3.27
Na: 0.2449 0.5044 0.6370 [1 per cell]  9 Au 3.11-3.44, 2 Al 3.23-3.26
Al: 0.4855 0.9791 0.2670 [1 per cell]  6 Au 2.51-2.64
Al: 0.6652 0.3474 0.7308 [1 per cell]  6 Au 2.49-2.74
Au: 0.0363 0.5668 0.0776 [1 per cell]  2 Al 2.57
Au: 0.2025 0.9417 0.5556 [1 per cell]  2 Al 2.60-2.64, 2 Au 2.77-2.86
Au: 0.5364 0.5750 0.0860 [1 per cell]  2 Al 2.57
Au: 0.5474 0.0956 0.9672 [1 per cell]  2 Al 2.51-2.74
Au: 0.7297 0.4784 0.4435 [1 per cell]  2 Al 2.49-2.61
Au: 0.7332 0.9486 0.5635 [1 per cell]  2 Al 2.60-2.64, 3 Au 2.77-2.91

=====

Arrangement C

This record from Alexandria via LeMat-Bulk describes an optimized crystal structure of NaAlAu3. The functional is GGA-PBE.

Output
Volume: 120.9 Å³ per cell

abc: 4.9442 4.9442 4.9442
angles: 90.00 90.00 90.00
Closest atoms and distances in Å follow each position.
Space group Pm-3m (No. 221)
One atom of each set of equivalent atoms:
Na: 0.0000 0.0000 0.0000 [1 per cell]  12 Au 3.50
Al: 0.5000 0.5000 0.5000 [1 per cell]  6 Au 2.47
Au: 0.0000 0.5000 0.5000 [3 per cell]  2 Al 2.47

=====

Most stable: arrangement B. Least stable: arrangement C.

=====

Arrangement A

This record from Alexandria via LeMat-Bulk describes an optimized crystal structure of NaAl3Au3. The functional is GGA-PBE.

Output
Volume: 254.3 Å³ per cell

abc: 8.0385 8.0385 4.5431
angles: 90.00 90.00 120.00
Closest atoms and distances in Å follow each position.
Space group P6_3/m (No. 176)
One atom of each set of equivalent atoms:
Na: 0.3333 0.6667 0.2500 [2 per cell]  3 Au 2.80
Al: 0.0077 0.2335 0.2500 [6 per cell]  4 Au 2.60-2.89
Au: 0.0488 0.4145 0.7500 [6 per cell]  4 Al 2.60-2.89, 1 Na 2.80

=====

Arrangement B

This record from Alexandria via LeMat-Bulk describes an optimized crystal structure of NaAl3Au3. The functional is GGA-PBE.

Output
Volume: 830.2 Å³ per cell

abc: 7.8390 7.8390 15.6013
angles: 90.00 90.00 120.00
Closest atoms and distances in Å follow each position.
Space group R-3 (No. 148, hexagonal axes)
One atom of each set of equivalent atoms:
Na: 0.0000 0.0000 0.1691 [6 per cell]  6 Au 2.88-2.89, 6 Al 3.15-3.19
Al: 0.9996 0.3318 0.3857 [18 per cell]  4 Au 2.52-2.70
Au: 0.0031 0.3057 0.5584 [18 per cell]  4 Al 2.52-2.70

=====

Most stable: arrangement B. Least stable: arrangement A.

=====

Arrangement A

This record from Alexandria via LeMat-Bulk describes an optimized crystal structure of NaAl4Au8. The functional is GGA-PBE.

Output
Volume: 468.6 Å³ per cell

abc: 9.1167 9.1167 5.6384
angles: 90.00 90.00 90.00
Closest atoms and distances in Å follow each position.
Space group I4/mmm (No. 139)
One atom of each set of equivalent atoms:
Na: 0.0000 0.0000 0.0000 [2 per cell]  4 Au 2.92
Al: 0.2500 0.2500 0.2500 [8 per cell]  8 Au 2.69-2.75, 2 Al 2.82
Au: 0.0000 0.2243 0.5000 [8 per cell]  4 Al 2.69, 6 Au 2.89-3.00
Au: 0.0000 0.3201 0.0000 [8 per cell]  4 Al 2.75, 1 Na 2.92, 4 Au 2.95-3.00

=====

Arrangement B

This record from Alexandria via LeMat-Bulk describes an optimized crystal structure of NaAl4Au8. The functional is GGA-PBE.

Output
Volume: 743.4 Å³ per cell

abc: 6.9270 6.9270 17.8890
angles: 90.00 90.00 120.00
Closest atoms and distances in Å follow each position.
Space group R-3m (No. 166, hexagonal axes)
One atom of each set of equivalent atoms:
Na: 0.0000 0.0000 0.0000 [3 per cell]  6 Au 2.62
Al: 0.0000 0.0000 0.5000 [3 per cell]  6 Au 2.48
Al: 0.0000 0.5000 0.0000 [9 per cell]  2 Au 2.56
Au: 0.0000 0.0000 0.2438 [6 per cell]  3 Al 2.56
Au: 0.0438 0.5219 0.7766 [18 per cell]  1 Al 2.48, 1 Na 2.62

=====

Most stable: arrangement A. Least stable: arrangement B.